# TbTmHg4

A relaxed TbTmHg4 crystal (PBE, Alexandria via LeMat-Bulk).

Its energy relative to the elements is -7.72 kcal/mol of atoms. The value obtained for the energy is -0.151 Ry/atom. Its total moment is 0.145 μB/f.u. As for the crystal system: monoclinic.

Lattice parameters (Å, degrees): 3.5989 6.1949 8.0498 111.99 77.08 73.11
Site moments in Bohr magnetons follow the coordinates.
Fractional coordinates of all 6 atoms:
Tm1 0.0000 0.0000 0.0000  0.04
Hg1 0.3377 0.9946 0.3301  0.00
Hg2 0.6623 0.0054 0.6699  0.00
Tb1 0.5000 0.5000 0.5000  0.07
Hg3 0.8281 0.5060 0.8379  0.00
Hg4 0.1719 0.4940 0.1621  0.00